1.
First-principles (PBE-GGA) data for CsErSO after structural relaxation, as listed in OQMD via LeMat-Bulk.

Values from the calculation:
For the excess energy over the best structure of this formula in the dataset, the calculation gives 0 meV/atom. The total energy is -5.861 eV/atom.

Cell lengths 8.186, 7.267, 6.643 Å; angles 90.00, 104.02, 90.00 degrees
Positions (direct):
Cs 0.081 0.239 0.001
Cs 0.081 0.261 0.501
Cs 0.919 0.739 0.499
Cs 0.919 0.761 0.999
Er 0.481 0.628 0.277
Er 0.481 0.872 0.777
Er 0.519 0.128 0.223
Er 0.519 0.372 0.723
S 0.277 0.598 0.860
S 0.277 0.902 0.360
S 0.723 0.098 0.640
S 0.723 0.402 0.140
O 0.403 0.144 0.878
O 0.403 0.356 0.378
O 0.597 0.644 0.622
O 0.597 0.856 0.122

=====

2.
First-principles (PBE-GGA) data for CsErSeO after structural relaxation, as listed in OQMD via LeMat-Bulk.

Values from the calculation:
For the excess energy over the best structure of this formula in the dataset, the calculation gives 0 meV/atom. The total energy is -5.656 eV/atom.

Cell lengths 8.435, 7.386, 6.732 Å; angles 90.00, 102.80, 90.00 degrees
Positions (direct):
Cs 0.087 0.229 0.497
Cs 0.087 0.271 0.997
Cs 0.913 0.729 0.003
Cs 0.913 0.771 0.503
Er 0.484 0.628 0.786
Er 0.484 0.872 0.286
Er 0.516 0.128 0.714
Er 0.516 0.372 0.214
Se 0.269 0.598 0.365
Se 0.269 0.902 0.865
Se 0.731 0.098 0.135
Se 0.731 0.402 0.635
O 0.413 0.144 0.381
O 0.413 0.356 0.881
O 0.587 0.644 0.119
O 0.587 0.856 0.619

=====

3.
First-principles (PBE-GGA) data for CsErSeO after structural relaxation, as listed in OQMD via LeMat-Bulk.

Values from the calculation:
For the excess energy over the best structure of this formula in the dataset, the calculation gives 169 meV/atom. The total energy is -5.487 eV/atom.

Cell lengths 3.797, 3.797, 15.325 Å; angles 90.00, 90.00, 120.00 degrees
Positions (direct):
Cs 0.333 0.667 0.285
Cs 0.667 0.333 0.715
Er 0.000 0.000 0.000
Er 0.000 0.000 0.500
Se 0.333 0.667 0.889
Se 0.667 0.333 0.111
O 0.333 0.667 0.567
O 0.667 0.333 0.433

=====

4.
First-principles (PBE-GGA) data for CsErSeO after structural relaxation, as listed in OQMD via LeMat-Bulk.

Values from the calculation:
For the excess energy over the best structure of this formula in the dataset, the calculation gives 358 meV/atom. The total energy is -5.298 eV/atom.

Cell lengths 4.691, 4.691, 10.765 Å; angles 90.00, 90.00, 90.00 degrees
Positions (direct):
Cs 0.250 0.750 0.000
Cs 0.750 0.250 0.000
Er 0.250 0.250 0.460
Er 0.750 0.750 0.540
Se 0.250 0.250 0.219
Se 0.750 0.750 0.781
O 0.250 0.750 0.500
O 0.750 0.250 0.500

=====

5.
First-principles (PBE-GGA) data for CsErSeO after structural relaxation, as listed in OQMD via LeMat-Bulk.

Values from the calculation:
For the excess energy over the best structure of this formula in the dataset, the calculation gives 36 meV/atom. The total energy is -5.620 eV/atom.

Cell lengths 4.530, 8.802, 6.935 Å; angles 90.00, 90.00, 90.00 degrees
Positions (direct):
Cs 0.000 0.196 0.000
Cs 0.000 0.804 0.500
Er 0.500 0.389 0.438
Er 0.500 0.611 0.938
Se 0.000 0.218 0.502
Se 0.000 0.782 0.002
O 0.500 0.437 0.142
O 0.500 0.563 0.642

=====

6.
First-principles (PBE-GGA) data for CsErSe2O8 after structural relaxation, as listed in OQMD via LeMat-Bulk.

Values from the calculation:
The total energy is -5.883 eV/atom.

Cell lengths 5.675, 5.675, 7.980 Å; angles 90.00, 90.00, 120.00 degrees
Positions (direct):
Cs 0.000 0.000 0.000
Er 0.000 0.000 0.500
Se 0.333 0.667 0.257
Se 0.667 0.333 0.743
O 0.175 0.350 0.331
O 0.175 0.825 0.331
O 0.333 0.667 0.051
O 0.350 0.175 0.669
O 0.650 0.825 0.331
O 0.667 0.333 0.949
O 0.825 0.175 0.669
O 0.825 0.650 0.669

=====

7.
First-principles (PBE-GGA) data for CsErSeO after structural relaxation, as listed in OQMD via LeMat-Bulk.

Values from the calculation:
For the excess energy over the best structure of this formula in the dataset, the calculation gives 147 meV/atom. The total energy is -5.509 eV/atom.

Cell lengths 3.792, 3.792, 15.437 Å; angles 90.00, 90.00, 120.00 degrees
Positions (direct):
Cs 0.333 0.667 0.000
Cs 0.667 0.333 0.500
Er 0.000 0.000 0.280
Er 0.000 0.000 0.780
Se 0.333 0.667 0.665
Se 0.667 0.333 0.165
O 0.333 0.667 0.339
O 0.667 0.333 0.839

=====

8.
First-principles (PBE-GGA) data for CsErTeO after structural relaxation, as listed in OQMD via LeMat-Bulk.

Values from the calculation:
For the excess energy over the best structure of this formula in the dataset, the calculation gives 0 meV/atom. The total energy is -5.516 eV/atom.

Cell lengths 9.696, 7.398, 6.705 Å; angles 90.00, 99.12, 90.00 degrees
Positions (direct):
Cs 0.131 0.089 0.335
Cs 0.131 0.411 0.835
Cs 0.869 0.589 0.165
Cs 0.869 0.911 0.665
Er 0.493 0.635 0.793
Er 0.493 0.865 0.293
Er 0.507 0.135 0.707
Er 0.507 0.365 0.207
Te 0.267 0.580 0.378
Te 0.267 0.920 0.878
Te 0.733 0.080 0.122
Te 0.733 0.420 0.622
O 0.435 0.141 0.384
O 0.435 0.359 0.884
O 0.565 0.641 0.116
O 0.565 0.859 0.616